No. 1
Cs6Rb23Tl | PBE | optimized geometry

Cell and atoms, written as POSCAR:
```
Cs6Rb23Tl
1.0
4.490 -13.515 6.980
3.114 -12.818 -8.805
14.927 -5.136 -1.528
Rb Cs Tl
23 6 1
Cartesian
9.708 -9.325 2.726
16.519 -25.473 0.076
18.224 -20.995 1.680
7.499 -10.474 -1.116
6.011 -5.996 -3.429
4.306 -10.474 -5.033
3.802 -13.167 -0.912
2.667 -3.724 -0.397
2.245 -6.757 3.490
15.032 -20.995 -2.237
10.527 -6.429 -1.201
17.500 -20.628 -6.632
16.063 -25.242 -5.154
19.978 -22.697 -2.743
6.467 -6.227 1.801
5.031 -10.841 3.279
7.464 -2.568 -0.764
12.004 -25.040 -2.151
9.020 -8.977 -5.166
19.864 -27.745 -2.956
0.000 0.000 0.000
2.553 -8.772 -0.610
1.557 -6.409 -4.402
12.599 -11.876 -1.622
9.932 -19.593 -1.730
14.233 -16.796 0.919
13.732 -16.543 -4.828
8.798 -14.926 1.475
8.297 -14.673 -4.272
11.265 -15.734 -1.676
```

Values from the calculation:
Formation energy = 0.03 eV/atom
Symmetry = Fm-3m

No. 2
Ca2HfTaAu | PBE | optimized geometry

Cell and atoms, written as POSCAR:
```
Ca2HfTaAu
1.0
5.805 0.000 0.000
0.000 4.873 0.000
0.000 0.000 5.805
Au Ca Ta Hf
1 2 1 1
Cartesian
2.903 2.437 2.903
2.903 0.000 0.000
0.000 0.000 2.903
0.000 2.437 0.000
0.000 0.000 0.000
```

Values from the calculation:
Formation energy = 1.22 eV/atom
Symmetry = P4/mmm

No. 3
HfMnNi2Pd | PBE | optimized geometry

Cell and atoms, written as POSCAR:
```
HfMnNi2Pd
1.0
4.479 0.000 0.000
0.000 4.708 0.000
0.000 0.000 4.479
Mn Ni Pd Hf
1 2 1 1
Cartesian
0.000 2.354 0.000
0.000 0.000 2.239
2.239 0.000 0.000
2.239 2.354 2.239
0.000 0.000 0.000
```

Values from the calculation:
Formation energy = 1.22 eV/atom
Symmetry = P4/mmm

No. 4
TiRu2Pt2 | PBE | optimized geometry

Cell and atoms, written as POSCAR:
```
TiRu2Pt2
1.0
6.650 0.000 0.000
0.000 6.650 0.000
0.000 0.000 3.632
Ru Pt Ti
4 4 2
Cartesian
5.639 2.314 1.816
4.335 5.639 1.816
2.314 1.010 1.816
1.010 4.335 1.816
2.395 5.719 0.000
0.930 2.395 0.000
4.255 0.930 0.000
5.719 4.255 0.000
0.000 0.000 0.000
3.325 3.325 0.000
```

Values from the calculation:
Formation energy = -0.03 eV/atom
Excess energy over the best structure of this formula in the dataset = 0.030 eV/atom
Symmetry = P4/mbm

No. 5
MnZn2In | PBE | optimized geometry

Cell and atoms, written as POSCAR:
```
MnZn2In
1.0
-8.239 1.794 -3.407
-8.988 -0.326 -1.346
-8.703 2.591 -0.500
Mn In Zn
1 1 2
Cartesian
-19.448 3.044 -3.940
-6.483 1.015 -1.313
-12.749 1.995 -2.583
-0.217 0.034 -0.044
```

Values from the calculation:
Formation energy = 0.21 eV/atom
Symmetry = R-3m

No. 6
K4ScFe | PBE | optimized geometry

Cell and atoms, written as POSCAR:
```
K4ScFe
1.0
0.187 -7.149 -0.988
-2.973 -4.399 4.892
-6.063 -3.585 -1.582
K Fe Sc
4 1 1
Cartesian
-3.312 -5.664 0.869
-6.362 -7.467 0.073
-3.218 -9.260 0.372
-4.808 -7.877 3.330
0.000 0.000 0.000
-6.637 -11.350 1.742
```

Values from the calculation:
Formation energy = 1.10 eV/atom
Symmetry = F-43m

No. 7
HfScPtO6 | PBE | optimized geometry

Cell and atoms, written as POSCAR:
```
HfScPtO6
1.0
-0.904 3.557 -3.066
-3.311 -2.697 -2.153
-6.692 3.448 5.972
Hf O Sc Pt
2 12 2 2
Cartesian
-3.225 1.005 -1.612
-4.464 2.300 3.983
-7.436 2.921 0.408
-8.371 1.448 2.617
-6.163 0.199 0.628
-5.180 1.744 -1.709
-5.805 2.589 2.428
-7.962 3.696 4.324
-4.672 4.072 0.062
-9.566 4.023 2.338
-2.537 2.948 -1.848
-3.451 1.391 0.432
-6.952 5.135 2.078
-4.012 -0.886 -1.288
-0.012 0.006 0.010
-5.465 2.160 0.387
-2.230 1.149 1.990
-7.684 3.303 2.367
```

Values from the calculation:
Formation energy without anion corrections = -2.24 eV per atom
Symmetry = P4_2nm

No. 8
Na5B7C3 | PBE | optimized geometry

Cell and atoms, written as POSCAR:
```
Na5B7C3
1.0
-2.666 -11.471 -5.452
5.316 10.838 4.764
1.054 -3.863 7.612
B C Na
14 6 10
Cartesian
3.473 0.580 7.102
5.024 8.320 5.956
1.873 -3.891 5.054
4.974 4.776 9.023
0.229 -8.484 2.951
-1.255 -12.633 1.052
1.923 -0.348 1.987
2.391 -2.443 5.718
-1.315 -9.397 -2.157
3.424 3.848 3.908
5.516 6.292 9.718
0.169 -5.249 -0.257
4.505 6.871 5.292
1.380 -1.863 1.293
-0.312 -6.593 -0.873
-1.818 -10.802 -2.800
0.732 -7.079 3.595
3.969 1.969 7.738
2.927 2.459 3.272
-0.774 -11.288 1.667
1.573 -6.428 6.234
1.047 -4.500 2.435
4.237 4.398 6.536
4.757 2.492 10.292
-2.133 -13.382 -1.641
2.139 1.936 0.719
2.659 0.031 4.474
-0.543 -8.941 0.397
-1.070 -7.009 -3.409
-2.659 -11.454 -5.440
```

Values from the calculation:
Formation energy = 0.12 eV/atom
Excess energy over the best structure of this formula in the dataset = 0.007 eV/atom
Symmetry = Cmcm

No. 9
Nb2PbF | PBE | optimized geometry

Cell and atoms, written as POSCAR:
```
Nb2PbF
1.0
4.907 0.000 0.000
0.000 4.907 0.000
2.453 2.453 7.354
Nb F Pb
4 2 2
Cartesian
6.134 5.037 5.516
3.680 4.777 5.516
2.323 3.680 1.839
2.584 1.227 1.839
2.453 4.907 3.677
2.453 2.453 0.000
0.000 0.000 0.000
4.907 2.453 3.677
```

Values from the calculation:
Excess energy over the best structure of this formula in the dataset = 0.071 eV/atom
Formation energy without anion corrections = 0.12 eV per atom
Symmetry = I-42d

No. 10
SmDy3Er7 | PBE | optimized geometry

Cell and atoms, written as POSCAR:
```
SmDy3Er7
1.0
4.650 -0.092 -2.907
-1.043 9.594 -1.968
-1.030 -0.701 8.718
Er Dy Sm
7 3 1
Cartesian
-0.278 2.314 4.654
1.810 -0.396 2.905
0.100 1.559 0.109
2.597 3.252 -1.124
2.856 6.487 -0.811
-0.020 5.549 4.966
2.477 7.242 3.734
-0.521 4.797 -0.984
-0.550 8.987 4.014
3.127 -0.186 -0.171
1.289 4.401 1.921
```

Values from the calculation:
Formation energy = 0.15 eV/atom
Excess energy over the best structure of this formula in the dataset = 0.000 eV/atom
Symmetry = P2/m

No. 11
SmZrCuNi | PBE | optimized geometry

Cell and atoms, written as POSCAR:
```
SmZrCuNi
1.0
-3.930 0.054 2.692
-1.624 -4.044 1.926
0.323 -0.698 4.702
Cu Ni Zr Sm
1 1 1 1
Cartesian
-1.308 -1.172 2.330
-3.923 -3.516 6.990
-2.616 -2.344 4.660
0.000 0.000 0.000
```

Values from the calculation:
Formation energy = -0.13 eV/atom
Symmetry = F-43m

No. 12
LiTmRh | PBE | optimized geometry

Cell and atoms, written as POSCAR:
```
LiTmRh
1.0
3.429 0.000 0.000
0.000 3.429 0.000
-1.714 -1.714 4.618
Li Tm Rh
1 1 1
Cartesian
1.714 1.714 1.281
1.714 1.714 4.021
0.000 0.000 2.550
```

Values from the calculation:
Formation energy = -0.44 eV/atom
Excess energy over the best structure of this formula in the dataset = 0.023 eV/atom
Symmetry = I4mm

No. 13
NaTi2Ag2 | PBE | optimized geometry

Cell and atoms, written as POSCAR:
```
NaTi2Ag2
1.0
8.373 0.000 0.000
0.000 8.373 0.000
0.000 0.000 2.789
Ti Ag Na
4 4 2
Cartesian
7.432 5.127 0.000
3.245 7.432 0.000
0.941 3.245 0.000
5.127 0.941 0.000
6.862 2.676 1.394
5.697 6.862 1.394
1.511 5.697 1.394
2.676 1.511 1.394
4.186 4.186 0.000
0.000 0.000 0.000
```

Values from the calculation:
Formation energy = 0.24 eV/atom
Excess energy over the best structure of this formula in the dataset = 0.000 eV/atom
Symmetry = P4/mbm

No. 14
LaPm5Nd2Th | PBE | optimized geometry

Cell and atoms, written as POSCAR:
```
LaPm5Nd2Th
1.0
-5.633 -0.501 -1.201
4.134 -9.663 -1.443
-1.970 -2.370 10.226
La Nd Pm Th
2 4 10 2
Cartesian
0.207 -9.261 2.894
-4.456 -4.213 8.743
-0.328 -3.047 2.807
-2.257 -8.416 0.183
-1.133 -4.025 6.994
-3.419 -9.822 6.219
0.969 -7.717 -1.327
-0.612 -7.511 6.005
-2.576 -11.084 2.789
-0.191 -11.262 5.594
-3.550 -3.749 4.300
-2.679 -4.810 0.656
-0.006 -0.383 0.187
-3.233 -1.219 1.758
0.103 -6.240 2.121
-3.839 -6.617 6.852
0.501 -4.005 -0.680
-3.039 -7.409 3.427
```

Values from the calculation:
Formation energy = 0.15 eV/atom
Symmetry = Cmc2_1

No. 15
Sm2DyTl | PBE | optimized geometry

Cell and atoms, written as POSCAR:
```
Sm2DyTl
1.0
5.542 0.000 0.000
2.771 4.800 0.000
2.771 1.600 4.525
Sm Tl Dy
2 1 1
Cartesian
2.771 1.600 1.131
8.314 4.800 3.394
5.542 3.200 2.263
0.000 0.000 0.000
```

Values from the calculation:
Formation energy = -0.05 eV/atom
Excess energy over the best structure of this formula in the dataset = 0.137 eV/atom
Symmetry = Fm-3m

No. 16
Dy3TmPu | PBE | optimized geometry

Cell and atoms, written as POSCAR:
```
Dy3TmPu
1.0
-2.323 -5.390 -2.322
1.521 -2.531 5.579
-6.548 5.515 1.189
Tm Dy Pu
2 6 2
Cartesian
-6.398 -1.401 3.619
-0.953 -1.005 0.827
-0.988 -0.945 4.246
-3.368 -2.883 2.682
-3.423 -2.757 -0.761
-6.363 -1.461 0.200
-3.927 0.351 5.207
-3.982 0.477 1.764
-6.371 1.984 4.006
-0.979 -4.391 0.440
```

Values from the calculation:
Formation energy = 0.14 eV/atom
Symmetry = C2/m

No. 17
ZrBeP2O | PBE | optimized geometry

Cell and atoms, written as POSCAR:
```
ZrBeP2O
1.0
4.962 0.000 0.000
0.000 5.088 0.000
0.000 0.000 4.962
O P Zr Be
1 2 1 1
Cartesian
2.481 2.544 2.481
2.481 0.000 0.000
0.000 0.000 2.481
0.000 0.000 0.000
0.000 2.544 0.000
```

Values from the calculation:
Excess energy over the best structure of this formula in the dataset = 1.933 eV/atom
Formation energy without anion corrections = 1.31 eV per atom
Symmetry = P4/mmm

No. 18
BeCdCo2 | PBE | optimized geometry

Cell and atoms, written as POSCAR:
```
BeCdCo2
1.0
-1.021 1.038 -3.341
2.209 -2.508 -1.454
-5.698 -6.377 -2.227
Cd Co Be
2 4 2
Cartesian
0.000 0.000 0.000
-3.062 -3.037 -3.983
-1.704 -1.343 -2.558
-0.253 -2.948 -2.152
-3.411 -5.867 -5.749
-3.649 -5.536 -3.586
0.594 -0.735 -2.398
-1.447 -4.810 -3.039
```

Values from the calculation:
Formation energy = 0.56 eV/atom
Excess energy over the best structure of this formula in the dataset = 0.470 eV/atom
Symmetry = I-42d

No. 19
Li2Bi2Au | PBE | optimized geometry

Cell and atoms, written as POSCAR:
```
Li2Bi2Au
1.0
-0.422 -2.738 3.125
-2.321 -5.272 -2.141
7.889 -6.627 -1.951
Bi Li Au
4 4 2
Cartesian
2.385 -4.492 -0.823
5.869 -9.872 0.515
-0.723 -4.765 -1.482
2.760 -10.146 -0.145
0.368 -2.490 0.659
4.224 -7.283 -0.229
0.922 -7.355 -0.738
4.777 -12.148 -1.626
1.845 -4.354 2.016
3.301 -10.283 -2.983
```

Values from the calculation:
Formation energy = -0.32 eV/atom
Excess energy over the best structure of this formula in the dataset = 0.000 eV/atom
Symmetry = C2/m

No. 20
Nd2Sm2ErTm | PBE | optimized geometry

Cell and atoms, written as POSCAR:
```
Nd2Sm2ErTm
1.0
-0.608 1.021 -5.554
2.514 -6.422 -1.456
-9.138 -3.652 0.328
Nd Er Sm Tm
4 2 4 2
Cartesian
0.971 -2.748 -3.516
-0.979 -2.302 -0.316
-5.608 -7.865 -0.833
-9.422 -3.188 -2.459
-5.668 -3.549 -2.936
-1.523 -5.606 -3.768
0.412 -5.460 -1.049
-4.507 -6.798 -3.661
-6.999 -4.708 -0.100
-2.685 -2.356 -3.043
-3.292 -5.087 -0.575
-4.550 -1.876 0.153
```

Values from the calculation:
Formation energy = 0.06 eV/atom
Symmetry = Pmma